! AgSn2S4 (PBE-GGA, optimized geometry); values from VASP
&SYSTEM
  ibrav = 0, nat = 28, ntyp = 3
/
ATOMIC_SPECIES
Sn 118.71 Sn.upf
Ag 107.87 Ag.upf
S 32.06 S.upf
CELL_PARAMETERS angstrom
-1.185 7.394 -2.600
-5.940 -4.249 2.708
6.576 4.814 10.696
ATOMIC_POSITIONS angstrom
Sn 1.331 3.154 1.988
Ag 2.635 5.497 8.583
S -0.967 2.506 0.960
S 1.207 2.135 11.149
Sn -0.592 3.697 -1.300
S 2.083 4.789 6.213
Sn 4.060 9.055 6.108
S -0.872 2.623 7.656
Ag -3.184 2.462 2.221
S 0.418 5.454 9.844
S 0.323 5.337 3.148
Sn 3.288 2.407 5.348
S -2.633 3.171 4.590
Ag -1.264 6.904 1.894
Sn -0.275 3.980 5.402
S -2.333 -0.305 5.674
S -1.756 5.825 -0.346
S 1.783 8.265 5.130
Sn 2.696 6.104 4.048
Ag 0.715 1.055 8.910
S -4.140 0.092 2.351
S 3.591 7.867 8.453
S 0.749 1.897 4.196
S -1.298 6.063 6.607
Sn -2.970 -2.125 1.354
S -4.670 4.180 1.075
Sn 0.000 0.000 0.000
S 4.121 3.780 9.729
! total magnetic moment: 0.00 μB per cell
! VASP energy: -4.2095 eV/atom
! polymorph energy (0 for the lowest one): 0 meV/atom
! ΔE_f (raw): -0.300 eV per atom